# Li4LaAg GGA-PBEsol relaxed
data_Li4LaAg
_chemical_formula_sum 'Li16 La4 Ag4'
_symmetry_space_group_name_H-M 'F -4 3 m'
_symmetry_Int_Tables_number 216
_symmetry_space_group_name_Hall 'F -4 2 3'
_cell_length_a 7.728
_cell_length_b 7.728
_cell_length_c 7.728
_cell_angle_alpha 90.00
_cell_angle_beta 90.00
_cell_angle_gamma 90.00
loop_
_atom_site_label
_atom_site_type_symbol
_atom_site_fract_x
_atom_site_fract_y
_atom_site_fract_z
Li1 Li 0.122 0.122 0.122
La1 La 0.000 0.000 0.500
Ag1 Ag 0.250 0.250 0.750
# - D(E_F): 1.81 states/eV/f.u.
# - ΔH_f (0 K): 0.002 eV/atom
# - M_tot: 0.0 μB/cell


# BaLi3Br GGA-PBEsol relaxed
data_BaLi3Br
_chemical_formula_sum 'Ba1 Li3 Br1'
_symmetry_space_group_name_H-M 'P m -3 m'
_symmetry_Int_Tables_number 221
_symmetry_space_group_name_Hall '-P 4 2 3'
_cell_length_a 5.376
_cell_length_b 5.376
_cell_length_c 5.376
_cell_angle_alpha 90.00
_cell_angle_beta 90.00
_cell_angle_gamma 90.00
loop_
_atom_site_label
_atom_site_type_symbol
_atom_site_fract_x
_atom_site_fract_y
_atom_site_fract_z
Ba1 Ba 0.000 0.000 0.000
Li1 Li 0.000 0.500 0.500
Br1 Br 0.500 0.500 0.500
# - D(E_F): 4.27 states/eV/f.u.
# - M_tot: 1.4 μB/cell
# - E_form (uncorrected): -301 meV per atom


# Mn2CoIr GGA-PBEsol relaxed
data_Mn2CoIr
_chemical_formula_sum 'Mn4 Co2 Ir2'
_symmetry_space_group_name_H-M 'I m m 2'
_symmetry_Int_Tables_number 44
_cell_length_a 2.829
_cell_length_b 4.140
_cell_length_c 8.283
_cell_angle_alpha 90.00
_cell_angle_beta 90.00
_cell_angle_gamma 90.00
loop_
_symmetry_equiv_pos_as_xyz
'x,y,z'
'-x,-y,z'
'-x,y,z'
'x,-y,z'
'x+1/2,y+1/2,z+1/2'
'-x+1/2,-y+1/2,z+1/2'
'-x+1/2,y+1/2,z+1/2'
'x+1/2,-y+1/2,z+1/2'
loop_
_atom_site_label
_atom_site_type_symbol
_atom_site_fract_x
_atom_site_fract_y
_atom_site_fract_z
Mn1 Mn 0.000 0.000 0.000
Mn2 Mn 0.000 0.500 0.253
Co1 Co 0.000 0.000 0.513
Ir1 Ir 0.000 0.500 0.751
# - D(E_F): 4.39 states/eV/f.u.
# - ΔH_f (0 K): 0.108 eV/atom
# - M_tot: 14.1 μB/cell


# FeCo3 GGA-PBEsol relaxed
data_FeCo3
_chemical_formula_sum 'Fe4 Co12'
_symmetry_space_group_name_H-M 'I m m m'
_symmetry_Int_Tables_number 71
_symmetry_space_group_name_Hall '-I 2 2'
_cell_length_a 2.773
_cell_length_b 3.923
_cell_length_c 15.727
_cell_angle_alpha 90.00
_cell_angle_beta 90.00
_cell_angle_gamma 90.00
loop_
_atom_site_label
_atom_site_type_symbol
_atom_site_fract_x
_atom_site_fract_y
_atom_site_fract_z
Fe1 Fe 0.000 0.000 0.124
Co1 Co 0.000 0.000 0.374
Co2 Co 0.000 0.500 0.000
Co3 Co 0.000 0.500 0.254
Co4 Co 0.000 0.500 0.500
# - D(E_F): 4.50 states/eV/f.u.
# - ΔH_f (0 K): 0.056 eV/atom
# - M_tot: 30.8 μB/cell


Q: M_tot of number 2 (BaLi3Br)?
A: 1.4 μB/cell


Q: Look up the M_tot of the fourth one.
A: 30.8 μB/cell


Q: Look up the D(E_F) of the fourth one.
A: 4.50 states/eV/f.u.